(a)
Compound: CoC5
Source: the Alexandria database
Functional: PBE
Structure: relaxed

a = 3.1900 Å, b = 3.1900 Å, c = 4.9631 Å
α = 90.00°, β = 90.00°, γ = 90.00°
With the nearest neighbours (Å) after each atom.
Fractional coordinates of all 6 atoms:
Co 0.0000 0.0000 0.0000  2 C 1.84
C 0.0000 0.0000 0.3701  1 C 1.29
C 0.0000 0.0000 0.6299  1 C 1.29
C 0.5000 0.5000 0.1332  1 C 1.32
C 0.5000 0.5000 0.5000  2 C 1.82
C 0.5000 0.5000 0.8668  1 C 1.32

***

(b)
Compound: CoC5
Source: the Alexandria database
Functional: PBE
Structure: relaxed

a = 4.1468 Å, b = 4.1468 Å, c = 4.1468 Å
α = 60.00°, β = 60.00°, γ = 60.00°
With the nearest neighbours (Å) after each atom.
Fractional coordinates of all 6 atoms:
Co 0.0000 0.0000 0.0000  16 C 2.51-2.54
C 0.4060 0.4060 0.4060  3 C 1.56
C 0.4060 0.4060 0.7821  3 C 1.56
C 0.4060 0.7821 0.4060  3 C 1.56
C 0.7500 0.7500 0.7500  12 C 2.40, 4 Co 2.54
C 0.7821 0.4060 0.4060  3 C 1.56

***

Most stable to least stable: (a), (b)